This record from Alexandria via LeMat-Bulk describes a relaxed structure of KCr2Ag. The functional is GGA-PBE.

Cell lengths 3.167, 3.167, 8.432 Å; angles 90.00, 90.00, 90.00 degrees
Positions (direct):
K  0.000  0.000  0.000
Cr  0.000  0.000  0.538
Cr  0.500  0.500  0.667
Ag  0.500  0.500  0.321

Calculated values
**Calculated formation energy**: 2.31 eV/f.u.
**DFT total energy**: -5.222 eV per atom
**Symmetry**: No. 99
**ΔE to the lowest computed polymorph**: 0.00 eV/f.u.

This record from Alexandria via LeMat-Bulk describes a relaxed structure of K2CrAg. The functional is GGA-PBE.

Cell lengths 8.805, 8.805, 8.805 Å; angles 95.35, 95.35, 144.43 degrees
Positions (direct):
K  0.375  0.228  0.353
K  0.772  0.125  0.147
K  0.875  0.022  0.647
K  0.978  0.625  0.853
Cr  0.250  0.750  0.500
Cr  0.500  0.500  0.000
Ag  0.000  0.000  0.000
Ag  0.750  0.250  0.500

Calculated values
**Calculated formation energy**: 2.62 eV/f.u.
**DFT total energy**: -3.012 eV per atom
**Symmetry**: No. 122
**ΔE to the lowest computed polymorph**: 0.61 eV/f.u.

This record from Alexandria via LeMat-Bulk describes a relaxed structure of KCrAg3. The functional is GGA-PBE.

Cell lengths 5.447, 5.447, 5.447 Å; angles 90.00, 90.00, 90.00 degrees
Positions (direct):
K  0.000  0.000  0.000
Cr  0.500  0.500  0.500
Ag  0.000  0.000  0.500
Ag  0.000  0.500  0.000
Ag  0.500  0.000  0.000

Calculated values
**Calculated formation energy**: 7.34 eV/f.u.
**DFT total energy**: -2.387 eV per atom
**Symmetry**: No. 221
**ΔE to the lowest computed polymorph**: 4.35 eV/f.u.

Ρ / Mg/m³: 4.9, 2.1, 4.3